First-principles (PBE with a Hubbard U) data for NaPrMoO4 after structural relaxation, as listed in Alexandria via LeMat-Bulk.

Results
- total DFT energy (no corrections) (eV per cell) = -97.223

Structure (extended XYZ):
```
14
Lattice="-3.290 3.646 4.736 3.290 -3.646 4.736 3.290 3.646 -4.736" Properties=species:S:1:pos:R:3 pbc="T T T"
Na 0.000 1.823 1.068
Na 3.290 1.823 3.668
Pr 3.290 0.000 0.000
Pr 0.000 0.000 4.736
Mo 1.645 1.823 -2.368
Mo 1.645 -1.823 2.368
O 3.290 -0.451 2.362
O 3.290 3.195 -2.362
O 1.784 1.823 -0.312
O 4.796 1.823 -0.312
O -1.506 1.823 5.049
O 1.506 1.823 5.049
O 0.000 0.451 7.099
O 0.000 4.097 2.374
```